LaTiIr2Pb, relaxed, DFT PBE; E_form = 149 meV/atom; symmetry = P4/mmm (123); N(E_F) = 5.8 states/eV/f.u.
1.0
-0.216 1.326 4.568
1.092 -4.864 1.463
4.650 1.021 -0.077
Ir Pb La Ti
2 1 1 1
direct
0.000 0.000 0.500
0.500 0.000 0.000
0.000 0.500 0.000
0.500 0.500 0.500
0.000 0.000 0.000

***

Ac2SnPd7, relaxed, DFT PBE; E_form = -612 meV/atom; symmetry = P-4m2 (115); N(E_F) = 5.7 states/eV/f.u.
1.0
4.163 0.000 0.000
0.000 4.163 0.000
0.000 0.000 12.419
Pd Ac Sn
7 2 1
direct
0.000 0.000 0.000
0.000 0.500 0.855
0.500 0.500 0.500
0.500 0.000 0.145
0.000 0.000 0.500
0.000 0.500 0.642
0.500 0.000 0.358
0.500 0.000 0.724
0.000 0.500 0.276
0.500 0.500 0.000

***

Li2Nd2Zn, relaxed, DFT PBE; E_form = 21 meV/atom; symmetry = I4/mmm (139); N(E_F) = 5.2 states/eV/f.u.
1.0
-2.135 0.812 -2.935
-0.854 -3.601 -0.375
-5.896 2.554 7.353
Zn Li Nd
1 2 2
direct
0.000 0.000 0.000
0.250 0.750 0.500
0.750 0.250 0.500
0.593 0.593 0.185
0.407 0.407 0.815

***

TbPm2Dy3As6, relaxed, DFT PBE; E_form = -1530 meV/atom; symmetry = C2/m (12); N(E_F) = 1.8 states/eV/f.u.
1.0
4.164 0.000 0.000
0.000 8.316 0.300
-2.082 -2.394 8.748
Dy As Tb Pm
3 6 1 2
direct
0.833 0.166 0.666
0.500 0.500 0.000
0.167 0.834 0.334
0.665 0.587 0.330
0.333 0.922 0.667
0.002 0.750 0.004
0.998 0.250 0.996
0.335 0.413 0.670
0.667 0.078 0.333
0.500 0.000 0.000
0.834 0.668 0.668
0.166 0.332 0.332

***

> Which formula does entry 2 have?

Ac2SnPd7

***

> N(E_F) of number 3 (Li2Nd2Zn)?

5.2 states/eV/f.u.

***

> Look up the E_form of the fourth one.

-1530 meV/atom

***

> What is the formula in the first record?

LaTiIr2Pb